(1)
The following is a DFT calculation (PBE) of a relaxed CoOsCl2 crystal.

The calculation puts the electronic total energy at -4.422 eV/atom.

The structure belongs to space group P4/mmm (No. 123); the cell edges are 2.845, 2.845 and 10.064 Å and the angles 90.00°, 90.00° and 90.00°. The inequivalent atoms are Co at (0.000, 0.000, 0.000), Os at (0.000, 0.000, 0.500) and Cl at (0.500, 0.500, 0.152).

***

(2)
The following is a DFT calculation (PBE) of a relaxed PrHg4Au crystal.

Its formation energy is -0.30 eV per atom.

The structure belongs to space group Cmc2_1 (No. 36); the cell edges are 5.083, 16.707 and 7.153 Å and the angles 90.00°, 90.00° and 90.00°. The inequivalent atoms are Pr at (0.000, 0.173, 0.000), Hg at (0.000, 0.009, 0.303), Hg at (0.000, 0.194, 0.467), Hg at (0.000, 0.359, 0.182), Hg at (0.000, 0.468, 0.537) and Au at (0.000, 0.324, 0.758).

***

(3)
The following is a DFT calculation (PBE) of a relaxed Ba5Ga2P6 crystal.

Its formation energy is -0.85 eV per atom.

The structure belongs to space group Pbam (No. 55); the cell edges are 12.757, 14.361 and 4.271 Å and the angles 90.00°, 90.00° and 90.00°. The inequivalent atoms are Ba at (0.000, 0.000, 0.000), Ba at (0.054, 0.264, 0.000), Ba at (0.177, 0.526, 0.000), Ga at (0.221, 0.736, 0.500), P at (0.010, 0.425, 0.500), P at (0.151, 0.116, 0.500) and P at (0.184, 0.815, 0.000).

***

(4)
The following is a DFT calculation (PBE) of a relaxed VPtS2Cl crystal.

The calculation puts the electronic total energy at -4.359 eV/atom.

The structure belongs to space group P4/mmm (No. 123); the cell edges are 4.729, 4.729 and 4.733 Å and the angles 90.00°, 90.00° and 90.00°. The inequivalent atoms are V at (0.000, 0.000, 0.000), Pt at (0.500, 0.500, 0.500), S at (0.000, 0.500, 0.500) and Cl at (0.500, 0.500, 0.000).

***

(5)
The following is a DFT calculation (PBE) of a relaxed AcDy3Bi3 crystal.

Its formation energy is -0.61 eV per atom.

The structure belongs to space group R-3 (No. 148, hexagonal axes); the cell edges are 9.4937, 9.4937 and 18.8756 Å and the angles 90.00°, 90.00° and 120.00°. The inequivalent atoms are Ac at (0.0000, 0.0000, 0.1661), Dy at (0.9997, 0.2584, 0.4175) and Bi at (0.0014, 0.6253, 0.4138).

***

(6)
The following is a DFT calculation (PBE) of a relaxed Cs3NpPb2Se6 crystal.

The calculation puts the electronic total energy at -4.641 eV/atom.

The structure belongs to space group C2/m (No. 12); the cell edges are 7.725, 13.340 and 8.615 Å and the angles 90.00°, 107.23° and 90.00°. The inequivalent atoms are Cs at (0.000, 0.000, 0.000), Cs at (0.000, 0.323, 0.000), Np at (0.000, 0.500, 0.500), Pb at (0.000, 0.165, 0.500), Se at (0.213, 0.349, 0.687) and Se at (0.236, 0.500, 0.308).

***

(7)
The following is a DFT calculation (PBE) of a relaxed Ce2ErGa crystal.

Its formation energy is -0.24 eV per atom.

The structure belongs to space group P4/mmm (No. 123); the cell edges are 4.426, 4.426 and 5.058 Å and the angles 90.00°, 90.00° and 90.00°. The inequivalent atoms are Ce at (0.000, 0.500, 0.000), Er at (0.000, 0.000, 0.500) and Ga at (0.500, 0.500, 0.500).

***

(8)
The following is a DFT calculation (PBE) of a relaxed CdSiRu2 crystal.

The calculation puts the electronic total energy at -6.195 eV/atom.

The structure belongs to space group Immm (No. 71); the cell edges are 2.975, 4.731 and 8.645 Å and the angles 90.00°, 90.00° and 90.00°. The inequivalent atoms are Cd at (0.000, 0.000, 0.000), Si at (0.000, 0.000, 0.500) and Ru at (0.000, 0.500, 0.214).

***

(9)
The following is a DFT calculation (PBE) of a relaxed K2ZnAs crystal.

Its formation energy is -0.24 eV per atom.

The structure belongs to space group Cm (No. 8); the cell edges are 12.068, 4.227 and 5.605 Å and the angles 90.00°, 117.63° and 90.00°. The inequivalent atoms are K at (0.000, 0.000, 0.000), K at (0.190, 0.000, 0.690), Zn at (0.294, 0.500, 0.291) and As at (0.412, 0.000, 0.415).

***

(10)
The following is a DFT calculation (PBE) of a relaxed Zr4TcPd crystal.

Its formation energy is -0.06 eV per atom.

The structure belongs to space group C2/m (No. 12); the cell edges are 8.166, 4.704 and 7.618 Å and the angles 90.00°, 110.91° and 90.00°. The inequivalent atoms are Zr at (0.123, 0.000, 0.368), Zr at (0.129, 0.500, 0.887), Tc at (0.000, 0.000, 0.000) and Pd at (0.000, 0.500, 0.500).

***

(11)
The following is a DFT calculation (PBE) of a relaxed K3NpCu2O8 crystal.

The calculation puts the electronic total energy at -6.015 eV/atom.

The structure belongs to space group P-3m1 (No. 164); the cell edges are 5.8429, 5.8429 and 7.8002 Å and the angles 90.00°, 90.00° and 120.00°. The inequivalent atoms are K at (0.0000, 0.0000, 0.0000), K at (0.3333, 0.6667, 0.6665), Np at (0.0000, 0.0000, 0.5000), Cu at (0.3333, 0.6667, 0.2290), O at (0.1627, 0.3254, 0.3494) and O at (0.3333, 0.6667, 0.0041).

***

(12)
The following is a DFT calculation (PBE) of a relaxed Sc4AgOs2 crystal.

Its formation energy is -0.33 eV per atom.

The structure belongs to space group R-3m (No. 166, hexagonal axes); the cell edges are 4.6278, 4.6278 and 21.9895 Å and the angles 90.00°, 90.00° and 120.00°. The inequivalent atoms are Sc at (0.0000, 0.0000, 0.1168), Sc at (0.0000, 0.0000, 0.3691), Ag at (0.0000, 0.0000, 0.5000) and Os at (0.0000, 0.0000, 0.2472).

***

(13)
The following is a DFT calculation (PBE) of a relaxed K2TcBiO6 crystal.

The calculation puts the electronic total energy at -6.076 eV/atom.

The structure belongs to space group P4mm (No. 99); the cell edges are 5.921, 5.921 and 4.545 Å and the angles 90.00°, 90.00° and 90.00°. The inequivalent atoms are K at (0.000, 0.500, 0.000), Tc at (0.000, 0.000, 0.464), Bi at (0.500, 0.500, 0.532), O at (0.000, 0.000, 0.078), O at (0.218, 0.218, 0.553) and O at (0.500, 0.500, 0.033).

***

(14)
The following is a DFT calculation (PBE) of a relaxed HfAlSn2 crystal.

Its formation energy is 0.00 eV per atom.

The structure belongs to space group R-3m (No. 166, hexagonal axes); the cell edges are 3.1985, 3.1985 and 31.7171 Å and the angles 90.00°, 90.00° and 120.00°. The inequivalent atoms are Hf at (0.0000, 0.0000, 0.0000), Al at (0.0000, 0.0000, 0.5000) and Sn at (0.0000, 0.0000, 0.4110).

***

(15)
The following is a DFT calculation (PBE) of a relaxed ErTl2Zn crystal.

Its formation energy is -0.17 eV per atom.

The structure belongs to space group P4/mmm (No. 123); the cell edges are 4.603, 4.603 and 4.510 Å and the angles 90.00°, 90.00° and 90.00°. The inequivalent atoms are Er at (0.000, 0.000, 0.000), Tl at (0.000, 0.500, 0.500) and Zn at (0.500, 0.500, 0.000).

***

(16)
The following is a DFT calculation (PBE) of a relaxed RbNaHF crystal.

The calculation puts the electronic total energy at -3.245 eV/atom.

The structure belongs to space group P6_3mc (No. 186); the cell edges are 4.0300, 4.0300 and 13.1711 Å and the angles 90.00°, 90.00° and 120.00°. The inequivalent atoms are Rb at (0.3333, 0.6667, 0.0000), Na at (0.0000, 0.0000, 0.2397), H at (0.3333, 0.6667, 0.6736) and F at (0.0000, 0.0000, 0.4037).

***

(17)
The following is a DFT calculation (PBE) of a relaxed CsCu3F6 crystal.

The calculation puts the electronic total energy at -4.114 eV/atom.

The structure belongs to space group P1 (No. 1); the cell edges are 5.574, 5.594 and 5.846 Å and the angles 107.38°, 113.03° and 91.34°. The inequivalent atoms are Cs at (0.000, 0.000, 0.000), Cu at (0.216, 0.721, 0.498), Cu at (0.614, 0.550, 0.119), Cu at (0.709, 0.235, 0.516), F at (0.385, 0.707, 0.884), F at (0.413, 0.480, 0.312), F at (0.452, 0.013, 0.539), F at (0.805, 0.470, 0.896), F at (0.904, 0.437, 0.390) and F at (0.910, 0.935, 0.443).

***

(18)
The following is a DFT calculation (PBE) of a relaxed FeNiAg2 crystal.

Its formation energy is 0.30 eV per atom.

The structure belongs to space group Cm (No. 8); the cell edges are 9.243, 2.761 and 4.782 Å and the angles 90.00°, 104.08° and 90.00°. The inequivalent atoms are Fe at (0.000, 0.000, 0.000), Ni at (0.218, 0.500, 0.217), Ag at (0.241, 0.000, 0.744) and Ag at (0.473, 0.000, 0.471).

***

(19)
The following is a DFT calculation (PBE) of a relaxed Ac3PrY2Se6 crystal.

The calculation puts the electronic total energy at -6.068 eV/atom.

The structure belongs to space group C2/m (No. 12); the cell edges are 7.348, 12.769 and 7.624 Å and the angles 90.00°, 108.86° and 90.00°. The inequivalent atoms are Ac at (0.000, 0.000, 0.000), Ac at (0.000, 0.338, 0.000), Pr at (0.000, 0.500, 0.500), Y at (0.000, 0.167, 0.500), Se at (0.231, 0.000, 0.723) and Se at (0.248, 0.328, 0.728).

***

(20)
The following is a DFT calculation (PBE) of a relaxed Np2PbCl8 crystal.

The calculation puts the electronic total energy at -5.540 eV/atom.

The structure belongs to space group C2/m (No. 12); the cell edges are 8.505, 12.518 and 5.476 Å and the angles 90.00°, 103.80° and 90.00°. The inequivalent atoms are Np at (0.000, 0.182, 0.000), Pb at (0.000, 0.500, 0.500), Cl at (0.000, 0.263, 0.500), Cl at (0.126, 0.000, 0.302) and Cl at (0.194, 0.367, 0.090).

***

| no. | magnetic moment (μB/atom) |
| --- | --- |
| 1 | 0.2111 |
| 2 | 0.0000 |
| 3 | 0.0000 |
| 4 | 0.0274 |
| 5 | 0.0000 |
| 6 | 0.1667 |
| 7 | 0.3152 |
| 8 | 0.0000 |
| 9 | 0.0000 |
| 10 | 0.0000 |
| 11 | 0.2858 |
| 12 | 0.0000 |
| 13 | 0.0001 |
| 14 | 0.0000 |
| 15 | 0.0000 |
| 16 | 0.0000 |
| 17 | 0.2022 |
| 18 | 0.8317 |
| 19 | 0.0000 |
| 20 | 0.7273 |